Entry 1:
DFT (PBE) results for a relaxed structure of VTcH.

As for the crystal system: orthorhombic. The calculation puts the offset from the most stable computed form at 0 meV/atom.

Geometry as POSCAR:
```
VTcH
1.0
2.911 -4.688 0.000
2.911 4.688 0.000
0.000 0.000 4.462
V Tc H
4 4 4
Cartesian
2.911 3.611 3.346
2.911 1.077 1.115
2.911 -1.077 3.347
2.911 -3.611 1.116
1.456 1.450 3.347
1.456 -1.450 1.116
4.367 1.450 3.347
4.367 -1.450 1.116
1.458 0.000 0.000
1.453 0.000 2.231
4.364 0.000 0.000
4.369 0.000 2.231
```



Entry 2:
DFT (PBE) results for a relaxed structure of CrCoP2.

For the formation energy, the calculation gives 101 meV/atom. As for the crystal system: trigonal. The calculation puts the offset from the most stable computed form at 444 meV/atom.

Geometry as POSCAR:
```
CrCoP2
1.0
1.331 0.768 9.712
-1.331 0.768 9.712
0.000 -1.537 9.712
Cr Co P
1 1 2
Cartesian
0.000 0.000 0.000
0.000 0.000 7.648
0.000 0.000 15.712
0.000 0.000 21.241
```



Entry 3:
DFT (PBE) results for a relaxed structure of K3Ga2Sn9.

For the formation energy, the calculation gives -124 meV/atom. As for the crystal system: orthorhombic.

Geometry as POSCAR:
```
K3Ga2Sn9
1.0
-2.517 6.131 6.803
2.517 -6.131 6.803
2.517 6.131 -6.803
K Ga Sn
3 2 9
Cartesian
0.000 0.000 0.000
0.000 0.000 3.907
0.000 0.000 9.698
2.517 4.219 0.000
0.000 1.912 6.803
2.517 1.811 -1.761
2.517 -2.609 4.817
2.517 1.811 1.761
0.000 3.521 1.986
0.000 6.131 0.000
2.517 2.609 4.817
0.000 4.320 5.042
0.000 8.740 1.986
0.000 4.320 8.563
```



Entry 4:
DFT (PBE) results for a relaxed structure of CsZrCdBi2.

For the formation energy, the calculation gives -108 meV/atom. As for the crystal system: tetragonal.

Geometry as POSCAR:
```
CsZrCdBi2
1.0
5.742 0.000 0.000
0.000 5.742 0.000
0.000 0.000 5.961
Cs Zr Cd Bi
1 1 1 2
Cartesian
0.000 0.000 0.000
2.871 2.871 2.980
2.871 2.871 0.000
0.000 2.871 2.980
2.871 0.000 2.980
```



Entry 5:
DFT (PBE) results for a relaxed structure of Cr2AsH2.

As for the crystal system: tetragonal. The calculated total energy is -6.0839 eV/atom.

Geometry as POSCAR:
```
Cr2AsH2
1.0
-1.480 1.480 4.945
1.480 -1.480 4.945
1.480 1.480 -4.945
Cr As H
2 1 2
Cartesian
0.000 0.000 1.469
0.000 0.000 8.420
0.000 0.000 4.945
1.480 0.000 2.472
0.000 1.480 2.472
```



Entry 6:
DFT (PBE) results for a relaxed structure of RbIn3Au3.

For the formation energy, the calculation gives -168 meV/atom. As for the crystal system: hexagonal. The calculation puts the offset from the most stable computed form at 27 meV/atom.

Geometry as POSCAR:
```
RbIn3Au3
1.0
9.938 0.000 0.000
-4.969 8.607 0.000
0.000 0.000 4.501
Rb In Au
2 6 6
Cartesian
0.000 5.738 1.125
4.969 2.869 3.376
-0.834 2.438 3.376
-2.441 8.110 3.376
1.695 1.941 1.125
3.275 6.665 3.376
7.410 0.497 1.125
5.803 6.169 1.125
-2.661 5.220 3.376
1.779 3.693 3.376
4.087 0.306 1.125
0.882 8.301 3.376
3.190 4.914 1.125
7.630 3.387 1.125
```



Entry 7:
DFT (PBE) results for a relaxed structure of CsY2Cu.

For the formation energy, the calculation gives 685 meV/atom. As for the crystal system: tetragonal. The calculation puts the offset from the most stable computed form at 67 meV/atom.

Geometry as POSCAR:
```
CsY2Cu
1.0
-4.231 4.231 6.005
4.231 -4.231 6.005
4.231 4.231 -6.005
Cs Y Cu
2 4 2
Cartesian
4.231 2.116 1.501
0.000 2.116 4.504
0.000 0.000 0.000
2.116 2.116 -3.003
2.116 -2.116 3.003
0.000 4.231 0.000
4.231 -2.116 4.504
0.000 6.347 1.501
```



Entry 8:
DFT (PBE) results for a relaxed structure of La2PmGeN.

As for the crystal system: orthorhombic. The energy relative to the elements, uncorrected is -0.76 eV per atom.

Geometry as POSCAR:
```
La2PmGeN
1.0
1.934 -8.530 0.000
1.934 8.530 0.000
0.000 0.000 7.667
La Pm Ge N
4 2 2 2
Cartesian
1.934 6.076 4.075
1.934 6.076 7.426
1.934 -6.076 0.241
1.934 -6.076 3.592
1.934 0.184 5.750
1.934 -0.184 1.917
1.934 3.235 5.750
1.934 -3.235 1.917
0.000 0.000 0.000
0.000 0.000 3.833
```



| no. | size of the total moment (μB per formula unit) | calculated volume (Å³/atom) |
| --- | --- | --- |
| 1 | 0.00 | 10.149 |
| 2 | 1.05 | 14.902 |
| 3 | 0.00 | 29.997 |
| 4 | 0.00 | 39.309 |
| 5 | 0.00 | 8.659 |
| 6 | 0.00 | 27.502 |
| 7 | 0.00 | 53.757 |
| 8 | 0.00 | 25.300 |